{"formula": "CsInCo2F8", "functional": "PBE with a Hubbard U", "state": "relaxed", "cell": [[4.8423, 0.0000, 0.0000], [-0.1591, 4.9753, 0.0000], [-0.7194, -0.4460, 8.6459]], "species": ["Cs", "In", "Co", "Co", "F", "F", "F", "F", "F", "F", "F", "F"], "frac_coords": [[0.0000, 0.0000, 0.0000], [0.0000, 0.0000, 0.5000], [0.4988, 0.5300, 0.6849], [0.5012, 0.4700, 0.3151], [0.1507, 0.2375, 0.3329], [0.2159, 0.2275, 0.6846], [0.3317, 0.7173, 0.4880], [0.4505, 0.7008, 0.8747], [0.5495, 0.2992, 0.1253], [0.6683, 0.2827, 0.5120], [0.7841, 0.7725, 0.3154], [0.8493, 0.7625, 0.6671]], "dft_energy_ev_per_atom": -4.707, "volume_a3_per_atom": 17.358, "crystal_system": "triclinic", "space_group": "P-1, No. 2", "magmom_total_mub_per_fu": 6.0}